Entry from Alexandria via LeMat-Bulk: an optimized crystal structure of Ba3Br (PBE-GGA).

a b c (Å): 8.524 16.093 7.692
angles (deg): 90.00 90.00 90.00
Sites, in units of the cell vectors:
Ba  0.000  0.074  0.250
Ba  0.000  0.926  0.750
Ba  0.248  0.327  0.250
Ba  0.248  0.673  0.750
Ba  0.252  0.173  0.750
Ba  0.252  0.827  0.250
Ba  0.500  0.426  0.750
Ba  0.500  0.574  0.250
Ba  0.748  0.173  0.750
Ba  0.748  0.827  0.250
Ba  0.752  0.327  0.250
Ba  0.752  0.673  0.750
Br  0.000  0.471  0.250
Br  0.000  0.529  0.750
Br  0.500  0.029  0.750
Br  0.500  0.971  0.250

Entry from Alexandria via LeMat-Bulk: an optimized crystal structure of Ba4Br (PBE-GGA).

a b c (Å): 4.956 4.956 23.376
angles (deg): 90.00 90.00 90.00
Sites, in units of the cell vectors:
Ba  0.000  0.000  0.091
Ba  0.000  0.000  0.909
Ba  0.000  0.500  0.250
Ba  0.000  0.500  0.750
Ba  0.500  0.000  0.250
Ba  0.500  0.000  0.750
Ba  0.500  0.500  0.409
Ba  0.500  0.500  0.591
Br  0.000  0.000  0.500
Br  0.500  0.500  0.000

Looking at raw total energy for the records above, in order, we have -0.0864; -0.0763 hartree per atom.
Looking at uncorrected formation energy for the records above, in order, we have -0.490; -0.202 eV per atom.
Looking at ΔE to the lowest computed polymorph for the records above, in order, we have 0.264; 0.338 eV/atom.